Record 1
Computed, not measured: a geometry-optimized CsRe2O8 structure at the PBE level of DFT.

Structure (POSCAR):
```
CsRe2O8
1.0
5.932 0.000 0.000
-2.966 5.730 -2.464
0.000 -0.211 7.520
Cs Re O
1 2 8
Cartesian
0.000 0.000 0.000
0.000 2.378 4.300
2.966 3.142 0.757
1.536 3.676 -0.119
4.502 1.843 5.175
0.000 1.644 2.699
2.966 3.875 2.357
-1.536 3.676 -0.119
1.430 1.843 5.175
0.000 4.121 4.174
2.966 1.398 0.883
```

Properties
N(E_F) (states/eV/f.u.): 7.148
Formation energy (no corrections) (eV/atom): -1.5168
Size of the total moment (Bohr magnetons per cell): 1.1
Space group: C2/m
Calculated volume (Å³/cell): 253

=====

Record 2
Computed, not measured: a geometry-optimized MgCdP2 structure at the PBE level of DFT.

Structure (POSCAR):
```
MgCdP2
1.0
4.046 0.000 0.000
0.000 4.888 0.000
0.000 0.000 3.747
Cd Mg P
1 1 2
Cartesian
2.023 0.000 1.873
0.000 2.444 1.873
0.000 0.000 0.000
2.023 2.444 0.000
```

Properties
N(E_F) (states/eV/f.u.): 1.460
Uncorrected energy (eV per atom): -3.197
Size of the total moment (Bohr magnetons per cell): 0.0
Space group: Pmmm
Calculated volume (Å³/cell): 74

=====

Record 3
Computed, not measured: a geometry-optimized Be3CN structure at the PBE level of DFT.

Structure (POSCAR):
```
Be3CN
1.0
-1.630 -1.590 2.409
1.133 -2.898 -1.145
2.655 0.261 1.969
Be C N
3 1 1
Cartesian
0.567 -1.449 -0.572
1.327 0.130 0.984
-0.815 -0.795 1.205
1.079 -2.113 1.617
0.000 0.000 0.000
```

Properties
N(E_F) (states/eV/f.u.): 1.948
Formation energy (no corrections) (eV/atom): 0.2750
Size of the total moment (Bohr magnetons per cell): 0.6
Space group: Pm-3m
Calculated volume (Å³/cell): 36

=====

Record 4
Computed, not measured: a geometry-optimized Cr2TeW structure at the PBE level of DFT.

Structure (POSCAR):
```
Cr2TeW
1.0
4.141 0.000 0.000
0.000 4.141 0.000
2.071 2.071 8.474
Cr Te W
4 2 2
Cartesian
3.150 1.035 2.118
0.991 3.106 2.118
3.106 3.062 6.355
5.177 5.221 6.355
2.071 2.071 0.000
2.071 4.141 4.237
0.000 0.000 0.000
4.141 2.071 4.237
```

Properties
N(E_F) (states/eV/f.u.): 7.865
Formation energy (no corrections) (eV/atom): 1.0121
Size of the total moment (Bohr magnetons per cell): 7.4
Space group: I-42d
Calculated volume (Å³/cell): 145

=====

Record 5
Computed, not measured: a geometry-optimized Pr2SmNpAs4 structure at the PBE level of DFT.

Structure (POSCAR):
```
Pr2SmNpAs4
1.0
4.227 0.000 0.000
0.000 7.325 0.136
0.000 -2.551 6.873
Pr Sm Np As
2 1 1 4
Cartesian
2.113 -1.276 3.436
0.000 2.387 3.505
2.113 3.662 0.068
0.000 0.000 0.000
2.113 1.163 1.666
2.113 3.610 5.343
0.000 -0.126 5.258
0.000 4.900 1.751
```

Properties
N(E_F) (states/eV/f.u.): 12.124
Uncorrected energy (eV per atom): -7.019
Size of the total moment (Bohr magnetons per cell): 3.7
Space group: P2/m
Calculated volume (Å³/cell): 214

=====

Record 6
Computed, not measured: a geometry-optimized Y2HoTl structure at the PBE level of DFT.

Structure (POSCAR):
```
Y2HoTl
1.0
3.644 0.000 0.000
1.822 3.155 0.000
1.823 1.052 10.711
Y Ho Tl
2 1 1
Cartesian
1.823 1.052 8.191
1.823 1.052 2.516
3.644 2.104 5.357
3.644 2.104 0.003
```

Properties
N(E_F) (states/eV/f.u.): 5.355
Uncorrected energy (eV per atom): -5.093
Size of the total moment (Bohr magnetons per cell): 0.6
Space group: R3m
Calculated volume (Å³/cell): 123

=====

Record 7
Computed, not measured: a geometry-optimized BaTlIr2 structure at the PBE level of DFT.

Structure (POSCAR):
```
BaTlIr2
1.0
-2.654 1.722 -0.207
-2.100 -3.002 1.945
1.453 2.981 6.170
Tl Ir Ba
1 2 1
Cartesian
-2.013 0.105 2.411
0.091 0.187 0.388
0.635 1.303 2.697
-1.287 1.596 5.496
```

Properties
N(E_F) (states/eV/f.u.): 4.273
Uncorrected energy (eV per atom): -5.004
Size of the total moment (Bohr magnetons per cell): 0.6
Space group: Pmmm
Calculated volume (Å³/cell): 92

=====

Record 8
Computed, not measured: a geometry-optimized NaEr2F7 structure at the PBE level of DFT.

Structure (POSCAR):
```
NaEr2F7
1.0
4.287 0.000 0.000
0.000 6.537 0.044
0.000 -2.844 5.886
Na Er F
1 2 7
Cartesian
0.000 0.000 0.000
2.143 3.680 1.823
2.143 0.013 4.107
0.000 3.870 1.705
0.000 -0.177 4.225
2.143 -0.621 1.946
2.143 4.314 3.984
2.143 2.020 0.301
2.143 1.673 5.629
2.143 1.846 2.965
```

Properties
N(E_F) (states/eV/f.u.): 0.000
Formation energy (no corrections) (eV/atom): -3.8383
Size of the total moment (Bohr magnetons per cell): 0.0
Space group: Cmmm
Calculated volume (Å³/cell): 165